1.
The following is a PBE with a Hubbard U calculation of crystalline FeAuNF2 at its relaxed geometry, from the Alexandria database.

## Properties
The density of states at the Fermi level is 1.334 states/eV per cell. Its total energy is -22.76 eV/f.u. The calculation puts the calculated density at 7.85 g/cm3. The total moment comes out at 0.991 μB per atom. As for the excess energy over the best structure of this formula in the dataset: 0.000 kcal/mol of atoms.

Cell: 3.810 3.810 4.442 Å, 90.00 90.00 90.00°
Fractional coordinates of all 5 atoms:
Au (0.500, 0.500, 0.500)
F (0.500, 0.000, 0.000)
F (0.000, 0.500, 0.000)
N (0.000, 0.000, 0.500)
Fe (0.000, 0.000, 0.000)

2.
The following is a PBE with a Hubbard U calculation of crystalline FeAuN2F at its relaxed geometry, from the Alexandria database.

## Properties
The density of states at the Fermi level is 2.968 states/eV per cell. Its total energy is -23.48 eV/f.u. The calculation puts the calculated density at 8.23 g/cm3. The total moment comes out at 0.562 μB per atom. As for the excess energy over the best structure of this formula in the dataset: 0.000 kcal/mol of atoms.

Cell: 3.927 3.927 3.920 Å, 90.00 90.00 90.00°
Fractional coordinates of all 5 atoms:
N (0.500, 0.000, 0.000)
N (0.000, 0.500, 0.000)
Fe (0.000, 0.000, 0.000)
Au (0.500, 0.500, 0.500)
F (0.000, 0.000, 0.500)

3.
The following is a PBE with a Hubbard U calculation of crystalline FeAuNF2 at its relaxed geometry, from the Alexandria database.

## Properties
The density of states at the Fermi level is 2.632 states/eV per cell. Its total energy is -19.58 eV/f.u. The calculation puts the calculated density at 6.27 g/cm3. The total moment comes out at 0.860 μB per atom. As for the excess energy over the best structure of this formula in the dataset: 14.674 kcal/mol of atoms.

Cell: 4.595 4.595 3.821 Å, 90.00 90.00 90.00°
Fractional coordinates of all 5 atoms:
F (0.000, 0.500, 0.000)
F (0.500, 0.000, 0.000)
Au (0.000, 0.000, 0.000)
N (0.000, 0.000, 0.500)
Fe (0.500, 0.500, 0.500)

4.
The following is a PBE with a Hubbard U calculation of crystalline FeAuN2F at its relaxed geometry, from the Alexandria database.

## Properties
The density of states at the Fermi level is 1.902 states/eV per cell. Its total energy is -21.07 eV/f.u. The calculation puts the calculated density at 6.46 g/cm3. The total moment comes out at 1.246 μB per atom. As for the excess energy over the best structure of this formula in the dataset: 11.087 kcal/mol of atoms.

Cell: 3.924 3.924 5.007 Å, 90.00 90.00 90.00°
Fractional coordinates of all 5 atoms:
N (0.500, 0.000, 0.000)
N (0.000, 0.500, 0.000)
Fe (0.500, 0.500, 0.500)
F (0.000, 0.000, 0.500)
Au (0.000, 0.000, 0.000)

5.
The following is a PBE with a Hubbard U calculation of crystalline FeAuO2F at its relaxed geometry, from the Alexandria database.

## Properties
The density of states at the Fermi level is 2.784 states/eV per cell. Its total energy is -23.91 eV/f.u. The calculation puts the calculated density at 8.25 g/cm3. The total moment comes out at 0.797 μB per atom.

Cell: 3.934 3.934 3.950 Å, 90.00 90.00 90.00°
Fractional coordinates of all 5 atoms:
Au (0.500, 0.500, 0.500)
F (0.000, 0.000, 0.500)
O (0.000, 0.500, 0.000)
O (0.500, 0.000, 0.000)
Fe (0.000, 0.000, 0.000)

6.
The following is a PBE with a Hubbard U calculation of crystalline FeAuO2F at its relaxed geometry, from the Alexandria database.

## Properties
The density of states at the Fermi level is 2.664 states/eV per cell. Its total energy is -20.89 eV/f.u. The calculation puts the calculated density at 7.01 g/cm3. The total moment comes out at 0.811 μB per atom.

Cell: 4.127 4.127 4.228 Å, 90.00 90.00 90.00°
Fractional coordinates of all 5 atoms:
O (0.000, 0.500, 0.000)
O (0.500, 0.000, 0.000)
Au (0.000, 0.000, 0.000)
F (0.000, 0.000, 0.500)
Fe (0.500, 0.500, 0.500)

7.
The following is a PBE with a Hubbard U calculation of crystalline Rb2FeAuF6 at its relaxed geometry, from the Alexandria database.

## Properties
The density of states at the Fermi level is 0.000 states/eV per cell. Its total energy is -44.23 eV/f.u. The calculation puts the calculated density at 4.82 g/cm3. The total moment comes out at 0.500 μB per atom.

Cell: 6.714 6.714 6.280 Å, 57.69 57.69 90.00°
Fractional coordinates of all 10 atoms:
F (0.297, 0.297, 0.000)
F (0.746, 0.746, 0.508)
F (0.703, 0.297, 0.000)
F (0.703, 0.703, 0.000)
F (0.297, 0.703, 0.000)
F (0.254, 0.254, 0.492)
Rb (0.750, 0.250, 0.500)
Rb (0.250, 0.750, 0.500)
Fe (0.500, 0.500, 0.000)
Au (0.000, 0.000, 0.000)

8.
The following is a PBE with a Hubbard U calculation of crystalline Sr2FeAuF at its relaxed geometry, from the Alexandria database.

## Properties
The density of states at the Fermi level is 9.847 states/eV per cell. Its total energy is -16.89 eV/f.u. The calculation puts the calculated density at 5.67 g/cm3. The total moment comes out at 0.667 μB per atom.

Cell: 4.932 5.385 4.932 Å, 90.00 90.00 90.00°
Fractional coordinates of all 5 atoms:
F (0.000, 0.000, 0.000)
Sr (0.000, 0.000, 0.500)
Sr (0.500, 0.000, 0.000)
Fe (0.500, 0.500, 0.500)
Au (0.000, 0.500, 0.000)

9.
The following is a PBE with a Hubbard U calculation of crystalline TaFe2AuF at its relaxed geometry, from the Alexandria database.

## Properties
The density of states at the Fermi level is 4.684 states/eV per cell. Its total energy is -22.49 eV/f.u. The calculation puts the calculated density at 8.34 g/cm3. The total moment comes out at 0.818 μB per atom.

Cell: 4.968 4.101 4.968 Å, 90.00 90.00 90.00°
Fractional coordinates of all 5 atoms:
Ta (0.500, 0.500, 0.500)
Fe (0.500, 0.000, 0.000)
Fe (0.000, 0.000, 0.500)
Au (0.000, 0.000, 0.000)
F (0.000, 0.500, 0.000)

10.
The following is a PBE with a Hubbard U calculation of crystalline FeTcAuF2 at its relaxed geometry, from the Alexandria database.

## Properties
The density of states at the Fermi level is 2.865 states/eV per cell. Its total energy is -25.79 eV/f.u. The calculation puts the calculated density at 6.64 g/cm3. The total moment comes out at 1.555 μB per atom.

Cell: 3.855 6.542 3.855 Å, 90.00 90.00 90.00°
Fractional coordinates of all 5 atoms:
Fe (0.000, 0.000, 0.000)
Au (0.500, 0.500, 0.500)
F (0.500, 0.000, 0.000)
F (0.000, 0.000, 0.500)
Tc (0.000, 0.500, 0.000)

> Among the records above, which one has the highest calculated density?

TaFe2AuF

What did the tenth record say?
The following is a PBE with a Hubbard U calculation of crystalline FeTcAuF2 at its relaxed geometry, from the Alexandria database.

## Properties
The density of states at the Fermi level is 2.865 states/eV per cell. Its total energy is -25.79 eV/f.u. The calculation puts the calculated density at 6.64 g/cm3. The total moment comes out at 1.555 μB per atom.

Cell: 3.855 6.542 3.855 Å, 90.00 90.00 90.00°
Fractional coordinates of all 5 atoms:
Fe (0.000, 0.000, 0.000)
Au (0.500, 0.500, 0.500)
F (0.500, 0.000, 0.000)
F (0.000, 0.000, 0.500)
Tc (0.000, 0.500, 0.000)

Repeat the sixth record exactly.
The following is a PBE with a Hubbard U calculation of crystalline FeAuO2F at its relaxed geometry, from the Alexandria database.

## Properties
The density of states at the Fermi level is 2.664 states/eV per cell. Its total energy is -20.89 eV/f.u. The calculation puts the calculated density at 7.01 g/cm3. The total moment comes out at 0.811 μB per atom.

Cell: 4.127 4.127 4.228 Å, 90.00 90.00 90.00°
Fractional coordinates of all 5 atoms:
O (0.000, 0.500, 0.000)
O (0.500, 0.000, 0.000)
Au (0.000, 0.000, 0.000)
F (0.000, 0.000, 0.500)
Fe (0.500, 0.500, 0.500)